## Pm2GeAu (PBEsol)

Data for crystalline Pm2GeAu at its relaxed geometry.

It has space group Fm-3m (No. 225), with a = 7.251 Å, b = 7.251 Å, c = 7.251 Å, α = 90.00°, β = 90.00° and γ = 90.00°. The distinct sites, in fractional coordinates, are Pm at (0.250, 0.250, 0.250), Ge at (0.000, 0.000, 0.000) and Au at (0.000, 0.000, 0.500).

The value obtained for the spin magnetization is 0.16 μB/atom. The calculation puts the total energy at -5.523 eV per atom. As for the formation energy: -0.74 eV/atom.